# 1
{
  "formula": "Ba2Zn4CdSn3",
  "functional": "PBE",
  "state": "optimized geometry",
  "lattice_angstrom": [[4.7282, 0.0000, 0.0000], [0.0000, 4.7282, 0.0000], [0.0000, 0.0000, 11.5989]],
  "species": ["Ba", "Ba", "Zn", "Zn", "Zn", "Zn", "Cd", "Sn", "Sn", "Sn"],
  "fractional_positions": [[0.0000, 0.5000, 0.2416], [0.5000, 0.0000, 0.7584], [0.0000, 0.0000, 0.0000], [0.0000, 0.5000, 0.6357], [0.5000, 0.0000, 0.3643], [0.5000, 0.5000, 0.0000], [0.0000, 0.0000, 0.5000], [0.0000, 0.5000, 0.8710], [0.5000, 0.0000, 0.1290], [0.5000, 0.5000, 0.5000]],
  "dos_at_fermi_per_ev_cell": 3.60,
  "formation_enthalpy_0k_ev_per_atom": -0.378,
  "density_kg_m3": 6435,
  "volume_a3_per_cell": 259.3
}

---

# 2
{
  "formula": "BaZnCdSn2",
  "functional": "PBE",
  "state": "optimized geometry",
  "lattice_angstrom": [[-2.4733, 2.4733, 5.8666], [2.4733, -2.4733, 5.8666], [2.4733, 2.4733, -5.8666]],
  "species": ["Ba", "Zn", "Cd", "Sn", "Sn"],
  "fractional_positions": [[0.0000, 0.0000, 0.0000], [0.7500, 0.2500, 0.5000], [0.2500, 0.7500, 0.5000], [0.3762, 0.3762, 0.0000], [0.6238, 0.6238, 0.0000]],
  "dos_at_fermi_per_ev_cell": 0.96,
  "formation_enthalpy_0k_ev_per_atom": -0.377,
  "density_kg_m3": 6392,
  "volume_a3_per_cell": 143.5
}

---

# 3
{
  "formula": "BaSr8Cd6",
  "functional": "PBE",
  "state": "optimized geometry",
  "lattice_angstrom": [[5.0171, 2.8966, 6.9456], [-5.0171, 2.8966, 6.9456], [0.0000, -5.7933, 6.9456]],
  "species": ["Ba", "Sr", "Sr", "Sr", "Sr", "Sr", "Sr", "Sr", "Sr", "Cd", "Cd", "Cd", "Cd", "Cd", "Cd"],
  "fractional_positions": [[0.0000, 0.0000, 0.0000], [0.1130, 0.7794, 0.4429], [0.2206, 0.5571, 0.8870], [0.3327, 0.3327, 0.3327], [0.4429, 0.1130, 0.7794], [0.5571, 0.8870, 0.2206], [0.6673, 0.6673, 0.6673], [0.7794, 0.4429, 0.1130], [0.8870, 0.2206, 0.5571], [0.0524, 0.3919, 0.7133], [0.2867, 0.9476, 0.6081], [0.3919, 0.7133, 0.0524], [0.6081, 0.2867, 0.9476], [0.7133, 0.0524, 0.3919], [0.9476, 0.6081, 0.2867]],
  "dos_at_fermi_per_ev_cell": 11.47,
  "formation_enthalpy_0k_ev_per_atom": -0.215,
  "density_kg_m3": 4148,
  "volume_a3_per_cell": 605.6
}